Record 1
# Tb2Pa2Se7

A relaxed structure of Tb2Pa2Se7 (PBE-GGA, OQMD).

## Properties
Symmetry ... Imm2 (44)

Cell lengths 8.929, 8.929, 8.929 Å; angles 153.84, 67.11, 119.44 degrees
Last column: magnetic moment on the atom in μB.
Atoms (fractional coordinates):
Pa: 0.332 0.832 0.500  0.86
Tb: 0.851 0.590 0.261  0.01
Se: 0.071 0.889 0.182  -0.01
Se: 0.498 0.106 0.391  -0.02
Tb: 0.330 0.590 0.739  0.01
Se: 0.706 0.889 0.818  -0.01
Se: 0.144 0.279 0.865  -0.02
Se: 0.715 0.106 0.609  -0.02
Se: 0.414 0.279 0.135  -0.02
Se: 0.012 0.512 0.500  -0.03
Pa: 0.781 0.781 0.000  0.81



Record 2
# PaTeSe

A relaxed structure of PaTeSe (PBE-GGA, OQMD).

## Properties
Symmetry ... P-62m (189)

Cell lengths 7.977, 7.977, 4.256 Å; angles 90.00, 90.00, 120.00 degrees
Last column: magnetic moment on the atom in μB.
Atoms (fractional coordinates):
Se: 0.000 0.258 0.500  -0.04
Se: 0.258 0.000 0.500  -0.04
Te: 0.403 0.403 0.000  -0.04
Pa: 0.333 0.667 0.500  0.91
Pa: 0.667 0.333 0.500  0.91
Se: 0.742 0.742 0.500  -0.04
Pa: 0.000 0.000 0.000  0.68
Te: 0.000 0.597 0.000  -0.04
Te: 0.597 0.000 0.000  -0.04



Record 3
# Pa4TeSe

A relaxed structure of Pa4TeSe (PBE-GGA, OQMD).

## Properties
Symmetry ... R-3m (166)

Cell lengths 6.449, 6.449, 6.449 Å; angles 50.20, 50.20, 50.20 degrees
Atoms (fractional coordinates):
Se: 0.000 0.000 0.000
Pa: 0.326 0.326 0.326
Pa: 0.674 0.674 0.674
Pa: 0.836 0.836 0.836
Te: 0.500 0.500 0.500
Pa: 0.164 0.164 0.164



Record 4
# Th2Pa2Se7

A relaxed structure of Th2Pa2Se7 (PBE-GGA, OQMD).

## Properties
Symmetry ... Imm2 (44)

Cell lengths 9.015, 9.015, 9.015 Å; angles 153.81, 67.05, 119.51 degrees
Last column: magnetic moment on the atom in μB.
Atoms (fractional coordinates):
Se: 0.286 0.896 0.391  -0.02
Se: 0.289 0.110 0.179  -0.01
Th: 0.665 0.405 0.260  0.06
Pa: 0.671 0.171 0.500  1.12
Th: 0.145 0.405 0.740  0.06
Se: 0.856 0.718 0.139  -0.02
Se: 0.505 0.896 0.609  -0.02
Se: 0.930 0.110 0.821  -0.01
Pa: 0.230 0.230 0.000  1.17
Se: 0.990 0.490 0.500  -0.03
Se: 0.579 0.718 0.861  -0.02



Record 5
# Pa2TlSe5

A relaxed structure of Pa2TlSe5 (PBE-GGA, OQMD).

## Properties
Symmetry ... Immm (71)

Cell lengths 8.526, 8.526, 8.526 Å; angles 150.60, 130.59, 58.54 degrees
Last column: magnetic moment on the atom in μB.
Atoms (fractional coordinates):
Se: 0.605 0.345 0.260  -0.02
Pa: 0.686 0.186 0.500  0.53
Tl: 0.000 0.000 0.000  0.00
Se: 0.915 0.655 0.260  -0.02
Se: 0.395 0.655 0.740  -0.02
Se: 0.500 0.000 0.500  -0.03
Se: 0.085 0.345 0.740  -0.02
Pa: 0.314 0.814 0.500  0.53



Record 6
# PaTl5Se6

A relaxed structure of PaTl5Se6 (PBE-GGA, OQMD).

## Properties
Symmetry ... C2/m (12)

Cell lengths 7.565, 7.565, 7.860 Å; angles 97.92, 97.92, 120.77 degrees
Atoms (fractional coordinates):
Se: 0.073 0.375 0.213
Se: 0.927 0.625 0.787
Pa: 0.000 0.000 0.000
Tl: 0.830 0.170 0.500
Se: 0.625 0.927 0.787
Se: 0.375 0.073 0.213
Se: 0.225 0.225 0.772
Tl: 0.170 0.830 0.500
Tl: 0.500 0.500 0.500
Tl: 0.335 0.665 0.000
Se: 0.775 0.775 0.228
Tl: 0.665 0.335 0.000



Record 7
# Pa2Tl2Se5

A relaxed structure of Pa2Tl2Se5 (PBE-GGA, OQMD).

## Properties
Symmetry ... Cmce (64)

Cell lengths 9.098, 9.098, 7.923 Å; angles 90.00, 90.00, 51.62 degrees
Last column: magnetic moment on the atom in μB.
Atoms (fractional coordinates):
Se: 0.760 0.465 0.853  -0.03
Se: 0.035 0.740 0.647  -0.03
Tl: 0.799 0.799 0.000  0.00
Se: 0.740 0.035 0.353  -0.03
Pa: 0.843 0.157 0.657  0.96
Pa: 0.343 0.657 0.843  0.94
Tl: 0.701 0.701 0.500  0.00
Se: 0.465 0.760 0.147  -0.03
Se: 0.260 0.965 0.647  -0.03
Se: 0.500 0.500 0.500  -0.03
Tl: 0.201 0.201 0.000  0.00
Se: 0.240 0.535 0.147  -0.03
Se: 0.000 0.000 0.000  -0.03
Se: 0.535 0.240 0.853  -0.03
Se: 0.965 0.260 0.353  -0.03
Pa: 0.657 0.343 0.157  0.94
Tl: 0.299 0.299 0.500  0.00
Pa: 0.157 0.843 0.343  0.96



Record 8
# ZrPaSe2

A relaxed structure of ZrPaSe2 (PBE-GGA, OQMD).

## Properties
Symmetry ... P4/mmm (123)

Cell lengths 9.748, 3.473, 4.873 Å; angles 90.00, 90.00, 90.00 degrees
Atoms (fractional coordinates):
Se: 0.750 0.500 0.000
Pa: 0.750 0.000 0.500
Zr: 0.500 0.000 0.000
Se: 0.000 0.500 0.500
Se: 0.500 0.500 0.500
Se: 0.250 0.500 0.000
Zr: 0.000 0.000 0.000
Pa: 0.250 0.000 0.500



Record 9
# PaSi

A relaxed structure of PaSi (PBE-GGA, OQMD).

## Properties
Symmetry ... Fm-3m (225)

Cell lengths 4.081, 4.081, 4.081 Å; angles 60.00, 60.00, 60.00 degrees
Atoms (fractional coordinates):
Si: 0.500 0.500 0.500
Pa: 0.000 0.000 0.000



Record 10
# PaSi

A relaxed structure of PaSi (PBE-GGA, OQMD).

## Properties
Symmetry ... P6_3/mmc (194)

Cell lengths 4.161, 4.161, 6.330 Å; angles 90.00, 90.00, 120.00 degrees
Atoms (fractional coordinates):
Si: 0.000 0.000 0.500
Pa: 0.333 0.667 0.750
Si: 0.000 0.000 0.000
Pa: 0.667 0.333 0.250



Record 11
# PaSi3

A relaxed structure of PaSi3 (PBE-GGA, OQMD).

## Properties
Symmetry ... Pm-3m (221)

Cell lengths 4.112, 4.112, 4.112 Å; angles 90.00, 90.00, 90.00 degrees
Atoms (fractional coordinates):
Si: 0.500 0.500 0.417
Pa: 0.000 0.000 0.416
Si: 0.500 0.000 0.917
Si: 0.000 0.500 0.917



Record 12
# PaSi

A relaxed structure of PaSi (PBE-GGA, OQMD).

## Properties
Symmetry ... P-6m2 (187)

Cell lengths 3.086, 3.086, 4.920 Å; angles 90.00, 90.00, 120.00 degrees
Atoms (fractional coordinates):
Si: 0.333 0.667 0.250
Pa: 0.667 0.333 0.750



Record 13
# PaSi

A relaxed structure of PaSi (PBE-GGA, OQMD).

## Properties
Symmetry ... F-43m (216)

Cell lengths 4.509, 4.509, 4.509 Å; angles 60.00, 60.00, 60.00 degrees
Last column: magnetic moment on the atom in μB.
Atoms (fractional coordinates):
Si: 0.250 0.250 0.250  -0.03
Pa: 0.000 0.000 0.000  0.70



Record 14
# PaSi2Tc4

A relaxed structure of PaSi2Tc4 (PBE-GGA, OQMD).

## Properties
Symmetry ... Cmmm (65)

Cell lengths 7.147, 7.147, 4.039 Å; angles 90.00, 90.00, 146.54 degrees
Atoms (fractional coordinates):
Tc: 0.816 0.184 0.500
Si: 0.587 0.413 0.500
Tc: 0.692 0.308 0.000
Tc: 0.308 0.692 0.000
Pa: 0.000 0.000 0.000
Tc: 0.184 0.816 0.500
Si: 0.413 0.587 0.500



Record 15
# ThPaSi

A relaxed structure of ThPaSi (PBE-GGA, OQMD).

## Properties
Symmetry ... F-43m (216)
Polymorph energy (0 for the lowest one) ... 0 meV per atom

Cell lengths 4.851, 4.851, 4.851 Å; angles 60.00, 60.00, 60.00 degrees
Atoms (fractional coordinates):
Th: 0.750 0.750 0.750
Si: 0.000 0.000 0.000
Pa: 0.250 0.250 0.250



Record 16
# UPaSi

A relaxed structure of UPaSi (PBE-GGA, OQMD).

## Properties
Symmetry ... F-43m (216)
Polymorph energy (0 for the lowest one) ... 0 meV per atom

Cell lengths 4.658, 4.658, 4.658 Å; angles 60.00, 60.00, 60.00 degrees
Atoms (fractional coordinates):
U: 0.750 0.750 0.750
Pa: 0.250 0.250 0.250
Si: 0.000 0.000 0.000



Record 17
# PaSi2W2

A relaxed structure of PaSi2W2 (PBE-GGA, OQMD).

## Properties
Symmetry ... I4/mmm (139)

Cell lengths 6.275, 6.275, 6.275 Å; angles 143.23, 143.23, 52.98 degrees
Atoms (fractional coordinates):
W: 0.250 0.750 0.500
W: 0.750 0.250 0.500
Pa: 0.000 0.000 0.000
Si: 0.605 0.605 0.000
Si: 0.395 0.395 0.000



Record 18
# PaSi2W

A relaxed structure of PaSi2W (PBE-GGA, OQMD).

## Properties
Symmetry ... Pnma (62)

Cell lengths 7.465, 3.830, 10.036 Å; angles 90.00, 90.00, 90.00 degrees
Atoms (fractional coordinates):
Pa: 0.361 0.750 0.861
Si: 0.344 0.750 0.186
Si: 0.244 0.250 0.066
W: 0.513 0.750 0.399
Si: 0.656 0.250 0.814
Si: 0.844 0.750 0.314
Si: 0.256 0.750 0.566
Si: 0.156 0.250 0.686
Pa: 0.639 0.250 0.139
Si: 0.756 0.750 0.934
W: 0.013 0.750 0.101
W: 0.987 0.250 0.899
Pa: 0.139 0.250 0.361
W: 0.487 0.250 0.601
Pa: 0.861 0.750 0.639
Si: 0.744 0.250 0.434



Record 19
# YPaSi

A relaxed structure of YPaSi (PBE-GGA, OQMD).

## Properties
Symmetry ... F-43m (216)
Polymorph energy (0 for the lowest one) ... 0 meV per atom

Cell lengths 4.803, 4.803, 4.803 Å; angles 60.00, 60.00, 60.00 degrees
Atoms (fractional coordinates):
Y: 0.750 0.750 0.750
Si: 0.000 0.000 0.000
Pa: 0.250 0.250 0.250



Record 20
# Pa2ZnSi2

A relaxed structure of Pa2ZnSi2 (PBE-GGA, OQMD).

## Properties
Symmetry ... P4/mbm (127)

Cell lengths 6.689, 6.689, 4.406 Å; angles 90.00, 90.00, 90.00 degrees
Atoms (fractional coordinates):
Pa: 0.322 0.822 0.500
Si: 0.875 0.375 0.000
Pa: 0.822 0.678 0.500
Si: 0.125 0.625 0.000
Pa: 0.178 0.322 0.500
Pa: 0.678 0.178 0.500
Si: 0.375 0.125 0.000
Zn: 0.500 0.500 0.000
Si: 0.625 0.875 0.000
Zn: 0.000 0.000 0.000



Record 21
# ZrPaSi

A relaxed structure of ZrPaSi (PBE-GGA, OQMD).

## Properties
Symmetry ... F-43m (216)
Polymorph energy (0 for the lowest one) ... 0 meV per atom

Cell lengths 4.665, 4.665, 4.665 Å; angles 60.00, 60.00, 60.00 degrees
Atoms (fractional coordinates):
Pa: 0.250 0.250 0.250
Si: 0.000 0.000 0.000
Zr: 0.750 0.750 0.750



Record 22
# SmPa2

A relaxed structure of SmPa2 (PBE-GGA, OQMD).

## Properties
Symmetry ... Fd-3m (227)
Calculated formation energy ... 2877.5 meV/atom

Cell lengths 8.468, 8.468, 8.468 Å; angles 60.00, 60.00, 60.00 degrees
Last column: magnetic moment on the atom in μB.
Atoms (fractional coordinates):
Pa: 0.375 0.375 0.375  0.21
Pa: 0.875 0.375 0.375  0.40
Pa: 0.375 0.875 0.375  0.22
Sm: 0.250 0.250 0.250  -0.04
Sm: 0.500 0.500 0.500  -0.04
Pa: 0.375 0.375 0.875  0.18



Record 23
# SmPaSn

A relaxed structure of SmPaSn (PBE-GGA, OQMD).

## Properties
Symmetry ... F-43m (216)
Polymorph energy (0 for the lowest one) ... 0 meV per atom

Cell lengths 5.169, 5.169, 5.169 Å; angles 60.00, 60.00, 60.00 degrees
Last column: magnetic moment on the atom in μB.
Atoms (fractional coordinates):
Pa: 0.500 0.500 0.500  1.18
Sm: 0.000 0.000 0.000  0.25
Sn: 0.250 0.250 0.250  -0.04



Record 24
# TbSmPa

A relaxed structure of TbSmPa (PBE-GGA, OQMD).

## Properties
Symmetry ... F-43m (216)
Calculated formation energy ... 1093.3 meV/atom
Polymorph energy (0 for the lowest one) ... 0 meV per atom

Cell lengths 5.245, 5.245, 5.245 Å; angles 60.00, 60.00, 60.00 degrees
Atoms (fractional coordinates):
Pa: 0.250 0.250 0.250
Sm: 0.000 0.000 0.000
Tb: 0.750 0.750 0.750



Record 25
# SmPaTl

A relaxed structure of SmPaTl (PBE-GGA, OQMD).

## Properties
Symmetry ... F-43m (216)
Polymorph energy (0 for the lowest one) ... 0 meV per atom

Cell lengths 5.190, 5.190, 5.190 Å; angles 60.00, 60.00, 60.00 degrees
Atoms (fractional coordinates):
Pa: 0.250 0.250 0.250
Sm: 0.750 0.750 0.750
Tl: 0.000 0.000 0.000



Record 26
# SmTmPa

A relaxed structure of SmTmPa (PBE-GGA, OQMD).

## Properties
Symmetry ... F-43m (216)
Calculated formation energy ... 1077.6 meV/atom
Polymorph energy (0 for the lowest one) ... 0 meV per atom

Cell lengths 5.266, 5.266, 5.266 Å; angles 60.00, 60.00, 60.00 degrees
Atoms (fractional coordinates):
Tm: 0.000 0.000 0.000
Pa: 0.250 0.250 0.250
Sm: 0.750 0.750 0.750



Record 27
# SmUPa

A relaxed structure of SmUPa (PBE-GGA, OQMD).

## Properties
Symmetry ... F-43m (216)
Calculated formation energy ... 1157.5 meV/atom
Polymorph energy (0 for the lowest one) ... 0 meV per atom

Cell lengths 5.021, 5.021, 5.021 Å; angles 60.00, 60.00, 60.00 degrees
Atoms (fractional coordinates):
Pa: 0.250 0.250 0.250
U: 0.000 0.000 0.000
Sm: 0.750 0.750 0.750



Result set for E_tot: -6.3638, -6.5030, -7.5767, -6.8428, -6.0412, -4.1604, -5.6587, -7.3367, -7.8210, -7.7984, -6.8621, -7.6161, -6.7661, -9.3632, -7.4462, -8.4799, -9.5337, -8.7557, -7.1592, -6.6187, -7.8850, -5.0234, -5.8900, -5.1854, -4.9949, -5.1496, -7.3436 eV per atom, one per record in the order listed.